# FeHPt2Au

A relaxed FeHPt2Au crystal (PBE, Alexandria).

```
data_FeHPt2Au
_chemical_formula_sum 'Fe1 H1 Pt2 Au1'
_space_group_name_H-M_alt 'P 1'
_space_group_IT_number 1
_cell_length_a 3.997
_cell_length_b 3.997
_cell_length_c 4.061
_cell_angle_alpha 90.00
_cell_angle_beta 90.00
_cell_angle_gamma 90.00
loop_
_space_group_symop_operation_xyz
'x,y,z'
loop_
_atom_site_label
_atom_site_fract_x
_atom_site_fract_y
_atom_site_fract_z
_atom_site_occupancy
Fe1 0.000 0.000 0.000 1
H1 0.000 0.000 0.500 1
Pt1 0.000 0.500 0.500 1
Pt2 0.500 0.000 0.500 1
Au1 0.500 0.500 0.000 1
```

electronic total energy	-26.9	eV per cell
space group	P4/mmm, No. 123

# Ca3Si3Ni

A relaxed Ca3Si3Ni crystal (PBE, Alexandria).

```
data_Ca3Si3Ni
_chemical_formula_sum 'Ca6 Si6 Ni2'
_space_group_name_H-M_alt 'P 1'
_space_group_IT_number 1
_cell_length_a 5.716
_cell_length_b 5.716
_cell_length_c 13.800
_cell_angle_alpha 109.65
_cell_angle_beta 109.65
_cell_angle_gamma 44.42
loop_
_space_group_symop_operation_xyz
'x,y,z'
loop_
_atom_site_label
_atom_site_fract_x
_atom_site_fract_y
_atom_site_fract_z
_atom_site_occupancy
Ca1 0.027 0.027 0.381 1
Ca2 0.102 0.102 0.920 1
Ca3 0.249 0.249 0.233 1
Ca4 0.751 0.751 0.767 1
Ca5 0.898 0.898 0.080 1
Ca6 0.973 0.973 0.619 1
Si1 0.357 0.357 0.462 1
Si2 0.397 0.397 0.922 1
Si3 0.447 0.447 0.761 1
Si4 0.553 0.553 0.239 1
Si5 0.603 0.603 0.078 1
Si6 0.643 0.643 0.538 1
Ni1 0.254 0.254 0.593 1
Ni2 0.746 0.746 0.407 1
```

space group	C2/m, No. 12
energy relative to the elements, uncorrected	-0.53	eV per atom

# PrAg2SnSe4

A relaxed PrAg2SnSe4 crystal (PBE, Alexandria).

```
data_PrAg2SnSe4
_chemical_formula_sum 'Pr1 Ag2 Sn1 Se4'
_space_group_name_H-M_alt 'P 1'
_space_group_IT_number 1
_cell_length_a 6.893
_cell_length_b 4.222
_cell_length_c 7.320
_cell_angle_alpha 90.00
_cell_angle_beta 110.61
_cell_angle_gamma 90.00
loop_
_space_group_symop_operation_xyz
'x,y,z'
loop_
_atom_site_label
_atom_site_fract_x
_atom_site_fract_y
_atom_site_fract_z
_atom_site_occupancy
Pr1 0.000 0.000 0.000 1
Ag1 0.500 0.000 0.500 1
Ag2 0.500 0.500 0.000 1
Sn1 0.000 0.500 0.500 1
Se1 0.256 0.500 0.261 1
Se2 0.261 0.000 0.747 1
Se3 0.739 0.000 0.253 1
Se4 0.744 0.500 0.739 1
```

space group	P2/m, No. 10
energy relative to the elements, uncorrected	-0.70	eV per atom